[1]
Density functional theory data (PBE-GGA) for an optimized crystal structure of SiTc2Ir.

Total magnetization   0.000 μB/cell
DFT total energy   -9.074 eV per atom

Cell lengths 2.8635, 2.8635, 6.7451 Å; angles 90.00, 90.00, 90.00 degrees
With the nearest neighbours (Å) after each atom.
Sites, in units of the cell vectors:
Si: 0.0000 0.0000 0.0000  4 Ir 2.50, 4 Tc 2.54
Tc: 0.0000 0.0000 0.4852  8 Tc 2.67-2.86, 4 Ir 2.85
Tc: 0.5000 0.5000 0.2269  4 Si 2.54, 4 Tc 2.67
Ir: 0.5000 0.5000 0.7828  4 Si 2.50

---

[2]
Density functional theory data (PBE-GGA) for an optimized crystal structure of LiSiF2.

Total magnetization   0.000 μB/cell
Energy relative to the lowest polymorph listed for this composition   0.0 meV per atom

Cell lengths 6.3196, 6.3196, 6.3196 Å; angles 25.50, 25.50, 25.50 degrees
With the nearest neighbours (Å) after each atom.
Sites, in units of the cell vectors:
Li: 0.0000 0.0000 0.0000  6 F 1.97
Si: 0.5000 0.5000 0.5000  2 F 1.91
F: 0.3956 0.3956 0.3956  1 Si 1.91, 3 Li 1.97
F: 0.6044 0.6044 0.6044  1 Si 1.91, 3 Li 1.97

---

[3]
Density functional theory data (PBE-GGA) for an optimized crystal structure of SrCd2F6.

Total magnetization   0.166 μB/cell
Energy relative to the lowest polymorph listed for this composition   51.2 meV per atom

Cell lengths 6.9306, 6.0197, 7.8705 Å; angles 90.00, 108.61, 90.00 degrees
With the nearest neighbours (Å) after each atom.
Sites, in units of the cell vectors:
Sr: 0.0000 0.0000 0.0000  8 F 2.53-2.62
Sr: 0.0000 0.5000 0.5000  8 F 2.53-2.62
Cd: 0.3833 0.0792 0.7728  6 F 2.21-2.34
Cd: 0.3833 0.4208 0.2728  6 F 2.21-2.34
Cd: 0.6167 0.5792 0.7272  6 F 2.21-2.34
Cd: 0.6167 0.9208 0.2272  6 F 2.21-2.34
F: 0.0674 0.1894 0.7288  1 Cd 2.21
F: 0.0674 0.3106 0.2288  1 Cd 2.21
F: 0.3122 0.7385 0.1264  2 Cd 2.21-2.28
F: 0.3122 0.7615 0.6264  2 Cd 2.21-2.28
F: 0.3663 0.1632 0.0569  3 Cd 2.28-2.34
F: 0.3663 0.3368 0.5569  3 Cd 2.28-2.34
F: 0.6337 0.6632 0.4431  3 Cd 2.28-2.34
F: 0.6337 0.8368 0.9431  3 Cd 2.28-2.34
F: 0.6878 0.2385 0.3736  2 Cd 2.21-2.28
F: 0.6878 0.2615 0.8736  2 Cd 2.21-2.28
F: 0.9326 0.6894 0.7712  1 Cd 2.21
F: 0.9326 0.8106 0.2712  1 Cd 2.21

---

[4]
Density functional theory data (PBE-GGA) for an optimized crystal structure of La3Tb3Sc.

Total magnetization   0.000 μB/cell
DFT formation energy   112 meV per atom

Cell lengths 13.2997, 5.6984, 12.4580 Å; angles 90.00, 90.00, 90.00 degrees
With the nearest neighbours (Å) after each atom.
Sites, in units of the cell vectors:
La: 0.1197 0.2500 0.1881  6 Tb 3.31-3.67, 2 La 3.48-3.51, 2 Sc 3.64
La: 0.1421 0.7500 0.8100  4 La 3.48-3.76, 2 Sc 3.64, 4 Tb 3.72-3.78
La: 0.2095 0.7500 0.4260  1 Sc 3.29, 1 Tb 3.58
La: 0.2905 0.2500 0.9260  1 Sc 3.29, 1 Tb 3.58
La: 0.3579 0.2500 0.3100  4 La 3.48-3.76, 2 Sc 3.64, 4 Tb 3.72-3.78
La: 0.3803 0.7500 0.6881  6 Tb 3.31-3.67, 2 La 3.48-3.51, 2 Sc 3.64
La: 0.6197 0.2500 0.3119  6 Tb 3.31-3.67, 2 La 3.48-3.51, 2 Sc 3.64
La: 0.6421 0.7500 0.6900  4 La 3.48-3.76, 2 Sc 3.64, 4 Tb 3.72-3.78
La: 0.7095 0.7500 0.0740  1 Sc 3.29, 1 Tb 3.58
La: 0.7905 0.2500 0.5740  1 Sc 3.29, 1 Tb 3.58
La: 0.8579 0.2500 0.1900  4 La 3.48-3.76, 2 Sc 3.64, 4 Tb 3.72-3.78
La: 0.8803 0.7500 0.8119  6 Tb 3.31-3.67, 2 La 3.48-3.51, 2 Sc 3.64
Tb: 0.0077 0.2500 0.9383  1 Sc 3.03, 2 Tb 3.24
Tb: 0.0261 0.2500 0.4343  3 Sc 3.25-3.31, 2 La 3.31-3.58, 3 Tb 3.36-3.64
Tb: 0.2434 0.2500 0.6114  1 Sc 3.27, 2 La 3.51, 2 Tb 3.57-3.64
Tb: 0.2566 0.7500 0.1114  1 Sc 3.27, 2 La 3.51, 2 Tb 3.57-3.64
Tb: 0.4739 0.7500 0.9343  3 Sc 3.25-3.31, 2 La 3.31-3.58, 3 Tb 3.36-3.64
Tb: 0.4923 0.7500 0.4383  1 Sc 3.03, 2 Tb 3.24
Tb: 0.5077 0.2500 0.5617  1 Sc 3.03, 2 Tb 3.24
Tb: 0.5261 0.2500 0.0657  3 Sc 3.25-3.31, 2 La 3.31-3.58, 3 Tb 3.36-3.64
Tb: 0.7434 0.2500 0.8886  1 Sc 3.27, 2 La 3.51, 2 Tb 3.57-3.64
Tb: 0.7566 0.7500 0.3886  1 Sc 3.27, 2 La 3.51, 2 Tb 3.57-3.64
Tb: 0.9739 0.7500 0.5657  3 Sc 3.25-3.31, 2 La 3.31-3.58, 3 Tb 3.36-3.64
Tb: 0.9923 0.7500 0.0617  1 Sc 3.03, 2 Tb 3.24
Sc: 0.0102 0.2500 0.6948  5 Tb 3.03-3.31, 1 La 3.29
Sc: 0.4898 0.7500 0.1948  5 Tb 3.03-3.31, 1 La 3.29
Sc: 0.5102 0.2500 0.8052  5 Tb 3.03-3.31, 1 La 3.29
Sc: 0.9898 0.7500 0.3052  5 Tb 3.03-3.31, 1 La 3.29